# 1
Crystalline CaY2AsOs at its relaxed geometry. Source: Alexandria, functional PBEsol.

Values from the calculation:
Space-group type: P4/mmm
Final energy (Ry per atom): -0.491
Energy relative to the elements (kJ/mol of atoms): -5.82
Volume (Å³ per atom): 27.76

Cell: 4.6996 5.4342 5.4342 Å, 90.00 90.00 90.00°
Element x y z (fractional)
Os 0.0000 0.0000 0.0000
Ca 0.5000 0.5000 0.5000
As 0.5000 0.0000 0.0000
Y 0.0000 0.0000 0.5000
Y 0.0000 0.5000 0.0000

---

# 2
Crystalline AlCdP2O at its relaxed geometry. Source: Alexandria, functional PBEsol.

Values from the calculation:
Space-group type: P4/mmm
Final energy (Ry per atom): -0.343
Formation energy (no corrections) (meV per atom): -245.1
Volume (Å³ per atom): 16.71

Cell: 3.3540 4.9909 4.9909 Å, 90.00 90.00 90.00°
Element x y z (fractional)
Cd 0.5000 0.5000 0.5000
Al 0.0000 0.0000 0.0000
O 0.5000 0.0000 0.0000
P 0.0000 0.0000 0.5000
P 0.0000 0.5000 0.0000

---

# 3
Crystalline CuNi2Ir at its relaxed geometry. Source: Alexandria, functional PBEsol.

Values from the calculation:
Space-group type: R3m
Final energy (Ry per atom): -0.480
Energy relative to the elements (kJ/mol of atoms): 8.90
Volume (Å³ per atom): 11.84

Cell: 2.5883 2.5883 8.2984 Å, 81.03 81.03 60.00°
Site moments in Bohr magnetons follow the coordinates.
Element x y z (fractional)
Cu 0.4962 0.4962 0.5115  0.05
Ir 0.2518 0.2518 0.2445  0.29
Ni 0.0033 0.0033 0.9901  0.68
Ni 0.7487 0.7487 0.7539  0.56

---

# 4
Crystalline HPt2F at its relaxed geometry. Source: Alexandria, functional PBEsol.

Values from the calculation:
Space-group type: I-42d
Final energy (Ry per atom): -0.339
Volume (Å³ per atom): 12.18

Cell: 4.7327 4.7327 5.4872 Å, 115.55 115.55 90.00°
Site moments in Bohr magnetons follow the coordinates.
Element x y z (fractional)
F 0.0000 0.0000 0.0000  0.03
Pt 0.1250 0.2211 0.7500  0.12
H 0.7500 0.2500 0.5000  0.00
H 0.5000 0.5000 0.0000  0.00
Pt 0.6250 0.5289 0.7500  0.12
Pt 0.4711 0.8750 0.2500  0.12
Pt 0.7789 0.3750 0.2500  0.12
F 0.2500 0.7500 0.5000  0.03

---

# 5
Crystalline BaScRePt2 at its relaxed geometry. Source: Alexandria, functional PBEsol.

Values from the calculation:
Space-group type: P4/mmm
Final energy (Ry per atom): -0.519
Energy relative to the elements (kJ/mol of atoms): 13.22
Volume (Å³ per atom): 23.99

Cell: 4.8101 4.9938 4.9938 Å, 90.00 90.00 90.00°
Element x y z (fractional)
Sc 0.5000 0.0000 0.0000
Re 0.0000 0.0000 0.0000
Pt 0.0000 0.5000 0.0000
Ba 0.5000 0.5000 0.5000
Pt 0.0000 0.0000 0.5000

---

# 6
Crystalline Ti3CuNi2P6O24 at its relaxed geometry. Source: Alexandria, functional PBEsol.

Values from the calculation:
Space-group type: R3
Final energy (Ry per atom): -0.570
Formation energy (no corrections) (meV per atom): -2136.2
Volume (Å³ per atom): 11.82

Cell: 8.3428 8.3428 8.3428 Å, 61.63 61.63 61.63°
Site moments in Bohr magnetons follow the coordinates.
Element x y z (fractional)
O 0.1091 0.3356 0.4827  0.01
O 0.4827 0.1091 0.3356  0.01
P 0.7527 0.4570 0.0473  0.01
Ni 0.9981 0.9981 0.9981  1.61
Ti 0.6436 0.6436 0.6436  0.00
O 0.3806 0.9990 0.1821  0.01
O 0.4285 0.2481 0.5919  0.05
O 0.0534 0.9106 0.2549  0.05
Ti 0.1407 0.1407 0.1407  0.00
O 0.6087 0.0187 0.8193  0.05
Cu 0.8577 0.8577 0.8577  0.73
O 0.9106 0.2549 0.0534  0.05
P 0.5456 0.9522 0.2498  0.01
O 0.9524 0.0947 0.7405  0.08
O 0.4096 0.5578 0.7520  0.05
O 0.8193 0.6087 0.0187  0.05
O 0.8829 0.6806 0.5076  0.00
P 0.2498 0.5456 0.9522  0.01
O 0.5919 0.4285 0.2481  0.05
O 0.2481 0.5919 0.4285  0.05
O 0.1821 0.3806 0.9990  0.01
O 0.5076 0.8829 0.6806  0.00
O 0.7520 0.4096 0.5578  0.05
P 0.0473 0.7527 0.4570  0.01
Ti 0.3557 0.3557 0.3557  0.00
O 0.6806 0.5076 0.8829  0.00
O 0.3356 0.4827 0.1091  0.01
P 0.9522 0.2498 0.5456  0.01
O 0.2549 0.0534 0.9106  0.05
O 0.0187 0.8193 0.6087  0.05
O 0.5578 0.7520 0.4096  0.05
P 0.4570 0.0473 0.7527  0.01
O 0.7405 0.9524 0.0947  0.08
O 0.0947 0.7405 0.9524  0.08
Ni 0.4983 0.4983 0.4983  1.60
O 0.9990 0.1821 0.3806  0.01

---

# 7
Crystalline Y2MnMo at its relaxed geometry. Source: Alexandria, functional PBEsol.

Values from the calculation:
Excess energy over the best structure of this formula in the dataset (kJ/mol of formula units): 139.4
Space-group type: I-4m2
Final energy (Ry per atom): -0.604
Energy relative to the elements (kJ/mol of atoms): 55.33
Volume (Å³ per atom): 20.68

Cell: 4.2695 4.2695 5.4510 Å, 113.06 113.06 90.00°
Site moments in Bohr magnetons follow the coordinates.
Element x y z (fractional)
Mo 0.2500 0.7500 0.5000  0.38
Y 0.0000 0.0000 0.0000  -0.01
Mn 0.5000 0.5000 0.0000  3.56
Y 0.7500 0.2500 0.5000  0.05

---

# 8
Crystalline MgTi2O5 at its relaxed geometry. Source: Alexandria, functional PBEsol.

Values from the calculation:
Excess energy over the best structure of this formula in the dataset (kJ/mol of formula units): 62.7
Space-group type: Cmcm
Final energy (Ry per atom): -0.624
Formation energy (no corrections) (meV per atom): -2910.8
Volume (Å³ per atom): 13.12

Cell: 3.7036 5.3451 11.3040 Å, 90.00 90.00 110.27°
Element x y z (fractional)
O 0.7620 0.5239 0.0775
O 0.7004 0.4009 0.7500
O 0.0387 0.0773 0.3717
O 0.2380 0.4761 0.5775
Mg 0.8964 0.7927 0.2500
Ti 0.2030 0.4059 0.4020
Mg 0.1036 0.2073 0.7500
Ti 0.7970 0.5941 0.5980
O 0.9613 0.9227 0.8717
Ti 0.7970 0.5941 0.9020
Ti 0.2030 0.4059 0.0980
O 0.9613 0.9227 0.6283
O 0.2380 0.4761 0.9225
O 0.7620 0.5239 0.4225
O 0.2996 0.5991 0.2500
O 0.0387 0.0773 0.1283

---

# 9
Crystalline Y2SiNi at its relaxed geometry. Source: Alexandria, functional PBEsol.

Values from the calculation:
Space-group type: R3m
Final energy (Ry per atom): -0.514
Formation energy (no corrections) (meV per atom): -604.7
Volume (Å³ per atom): 22.83

Cell: 3.9263 3.9263 7.2070 Å, 74.19 74.19 60.00°
Element x y z (fractional)
Ni 0.5477 0.5477 0.3568
Si 0.2038 0.2038 0.3885
Y 0.7837 0.7837 0.6488
Y 0.9647 0.9647 0.1059

---

# 10
Crystalline SrOsAu2 at its relaxed geometry. Source: Alexandria, functional PBEsol.

Values from the calculation:
Excess energy over the best structure of this formula in the dataset (kJ/mol of formula units): 45.9
Space-group type: P4mm
Final energy (Ry per atom): -0.369
Energy relative to the elements (kJ/mol of atoms): 44.43
Volume (Å³ per atom): 20.37

Cell: 3.4999 3.4999 6.6517 Å, 90.00 90.00 90.00°
Element x y z (fractional)
Au 0.5000 0.5000 0.2845
Au 0.0000 0.0000 0.0320
Sr 0.5000 0.5000 0.7502
Os 0.0000 0.0000 0.4332

---

# 11
Crystalline MgRe2Hg at its relaxed geometry. Source: Alexandria, functional PBEsol.

Values from the calculation:
Excess energy over the best structure of this formula in the dataset (kJ/mol of formula units): 61.3
Space-group type: Cmmm
Final energy (Ry per atom): -0.484
Energy relative to the elements (kJ/mol of atoms): 62.43
Volume (Å³ per atom): 16.37

Cell: 2.7115 2.7115 9.3668 Å, 90.00 90.00 108.00°
Element x y z (fractional)
Mg 0.5000 0.5000 0.0000
Re 0.0000 0.0000 0.7571
Hg 0.5000 0.5000 0.5000
Re 0.0000 0.0000 0.2429

---

# 12
Crystalline AlP4W at its relaxed geometry. Source: Alexandria, functional PBEsol.

Values from the calculation:
Space-group type: F-43m
Final energy (Ry per atom): -0.452
Energy relative to the elements (kJ/mol of atoms): 67.07
Volume (Å³ per atom): 13.94

Cell: 4.9083 4.9083 4.9083 Å, 60.00 60.00 60.00°
Element x y z (fractional)
Al 0.0000 0.0000 0.0000
P 0.3758 0.3758 0.8725
P 0.3758 0.8725 0.3758
W 0.7500 0.7500 0.7500
P 0.3758 0.3758 0.3758
P 0.8725 0.3758 0.3758

---

- Among the records above, which one has the highest volume?
  CaY2AsOs

---

- The lowest final energy belongs to which entry?
  MgTi2O5

---

- The lowest final energy belongs to which entry?
  MgTi2O5

---

- Number 1 is which compound?
  CaY2AsOs